Material: BiOs3Cl
Method: DFT, meta-GGA SCAN
State: PBEsol geometry

Cell: 4.439 4.439 4.439 Å, 90.00 90.00 90.00°
Sites, in units of the cell vectors:
Os: 0.500 0.000 0.000
Cl: 0.000 0.000 0.000
Bi: 0.500 0.500 0.500
Os: 0.000 0.000 0.500
Os: 0.000 0.500 0.000

## Properties
Spin magnetization (μB/cell): 0.0



Material: Zr2BiOsCl
Method: DFT, meta-GGA SCAN
State: PBEsol geometry

Cell: 4.476 5.122 5.122 Å, 90.00 90.00 90.00°
Sites, in units of the cell vectors:
Zr: 0.000 0.000 0.500
Zr: 0.000 0.500 0.000
Os: 0.000 0.000 0.000
Cl: 0.500 0.000 0.000
Bi: 0.500 0.500 0.500

## Properties
Spin magnetization (μB/cell): 0.0



Material: BiSbPCl2
Method: DFT, meta-GGA SCAN
State: PBEsol geometry

Cell: 5.144 5.144 5.677 Å, 90.00 90.00 90.00°
Sites, in units of the cell vectors:
Sb: 0.500 0.500 0.500
Cl: 0.500 0.000 0.000
Bi: 0.000 0.000 0.000
P: 0.000 0.000 0.500
Cl: 0.000 0.500 0.000

## Properties
Spin magnetization (μB/cell): 1.0



Material: ScBiP2Cl
Method: DFT, meta-GGA SCAN
State: PBEsol geometry

Cell: 4.656 5.026 5.026 Å, 90.00 90.00 90.00°
Sites, in units of the cell vectors:
P: 0.000 0.500 0.000
Cl: 0.500 0.000 0.000
Sc: 0.000 0.000 0.000
Bi: 0.500 0.500 0.500
P: 0.000 0.000 0.500

## Properties
Spin magnetization (μB/cell): 0.0



Material: BiPbCl2
Method: DFT, meta-GGA SCAN
State: PBEsol geometry

Cell: 3.447 3.447 10.412 Å, 80.47 80.47 60.00°
Sites, in units of the cell vectors:
Cl: 0.908 0.908 0.275
Cl: 0.092 0.092 0.725
Pb: 0.000 0.000 0.000
Bi: 0.500 0.500 0.500

## Properties
Spin magnetization (μB/cell): 0.0



Material: BiPbSe2Cl
Method: DFT, meta-GGA SCAN
State: PBEsol geometry

Cell: 5.283 5.283 6.356 Å, 90.00 90.00 90.00°
Sites, in units of the cell vectors:
Se: 0.000 0.500 0.000
Cl: 0.500 0.500 0.500
Pb: 0.000 0.000 0.500
Se: 0.500 0.000 0.000
Bi: 0.000 0.000 0.000

## Properties
Spin magnetization (μB/cell): 0.0



Material: Bi2PtCl
Method: DFT, meta-GGA SCAN
State: PBEsol geometry

Cell: 6.729 7.525 6.729 Å, 63.44 90.00 116.56°
Sites, in units of the cell vectors:
Bi: 0.375 0.250 0.078
Bi: 0.078 0.750 0.875
Cl: 0.500 0.000 0.500
Pt: 0.000 0.000 0.000
Pt: 0.750 0.500 0.750
Bi: 0.875 0.250 0.672
Cl: 0.250 0.500 0.250
Bi: 0.672 0.750 0.375

## Properties
Spin magnetization (μB/cell): 0.0



Material: BiPtCl2
Method: DFT, meta-GGA SCAN
State: PBEsol geometry

Cell: 4.816 4.816 4.816 Å, 60.00 60.00 60.00°
Sites, in units of the cell vectors:
Cl: 0.750 0.750 0.750
Bi: 0.500 0.500 0.500
Pt: 0.000 0.000 0.000
Cl: 0.250 0.250 0.250

## Properties
Spin magnetization (μB/cell): 0.0
Energy relative to the lowest polymorph listed for this composition (meV per atom): 235



Material: Bi3PtCl
Method: DFT, meta-GGA SCAN
State: PBEsol geometry

Cell: 5.273 5.273 5.273 Å, 90.00 90.00 90.00°
Sites, in units of the cell vectors:
Bi: 0.500 0.000 0.000
Bi: 0.000 0.500 0.000
Bi: 0.000 0.000 0.500
Pt: 0.500 0.500 0.500
Cl: 0.000 0.000 0.000

## Properties
Spin magnetization (μB/cell): 0.0



Material: BiPtCl2
Method: DFT, meta-GGA SCAN
State: PBEsol geometry

Cell: 3.536 3.536 8.851 Å, 78.48 78.48 60.00°
Sites, in units of the cell vectors:
Cl: 0.892 0.892 0.323
Bi: 0.000 0.000 0.000
Cl: 0.108 0.108 0.677
Pt: 0.500 0.500 0.500

## Properties
Spin magnetization (μB/cell): 1.1
Energy relative to the lowest polymorph listed for this composition (meV per atom): 0



Material: Tc2BiPtCl
Method: DFT, meta-GGA SCAN
State: PBEsol geometry

Cell: 4.580 4.956 4.956 Å, 90.00 90.00 90.00°
Sites, in units of the cell vectors:
Bi: 0.500 0.500 0.500
Tc: 0.000 0.500 0.000
Tc: 0.000 0.000 0.500
Cl: 0.500 0.000 0.000
Pt: 0.000 0.000 0.000

## Properties
Spin magnetization (μB/cell): 6.3



Material: RbBi2Cl
Method: DFT, meta-GGA SCAN
State: PBEsol geometry

Cell: 5.606 5.606 5.606 Å, 60.00 60.00 60.00°
Sites, in units of the cell vectors:
Bi: 0.750 0.750 0.750
Rb: 0.500 0.500 0.500
Cl: 0.000 0.000 0.000
Bi: 0.250 0.250 0.250

## Properties
Spin magnetization (μB/cell): 0.0



Material: RbBiSCl2
Method: DFT, meta-GGA SCAN
State: PBEsol geometry

Cell: 5.531 5.531 5.371 Å, 90.00 90.00 90.00°
Sites, in units of the cell vectors:
Cl: 0.000 0.500 0.000
S: 0.000 0.000 0.500
Cl: 0.500 0.000 0.000
Rb: 0.000 0.000 0.000
Bi: 0.500 0.500 0.500

## Properties
Spin magnetization (μB/cell): 0.7



Material: ReBi2Cl
Method: DFT, meta-GGA SCAN
State: PBEsol geometry

Cell: 6.540 6.540 7.795 Å, 114.81 114.81 90.00°
Sites, in units of the cell vectors:
Bi: 0.935 0.375 0.250
Bi: 0.315 0.875 0.250
Cl: 0.750 0.250 0.500
Cl: 0.500 0.500 0.000
Re: 0.250 0.750 0.500
Re: 0.000 0.000 0.000
Bi: 0.625 0.685 0.750
Bi: 0.125 0.065 0.750

## Properties
Spin magnetization (μB/cell): 0.0



Material: Re3BiCl
Method: DFT, meta-GGA SCAN
State: PBEsol geometry

Cell: 5.055 5.055 5.055 Å, 90.00 90.00 90.00°
Sites, in units of the cell vectors:
Re: 0.000 0.000 0.500
Bi: 0.000 0.000 0.000
Re: 0.000 0.500 0.000
Re: 0.500 0.000 0.000
Cl: 0.500 0.500 0.500

## Properties
Spin magnetization (μB/cell): 5.4



Material: Bi12Rh3Cl2
Method: DFT, meta-GGA SCAN
State: PBEsol geometry

Cell: 7.087 8.996 16.204 Å, 85.06 77.37 66.80°
Sites, in units of the cell vectors:
Bi: 0.193 0.259 0.104
Rh: 0.375 0.250 0.750
Bi: 0.202 0.241 0.604
Bi: 0.614 0.922 0.276
Bi: 0.109 0.078 0.276
Rh: 0.500 0.000 0.000
Bi: 0.556 0.741 0.896
Bi: 0.464 0.922 0.724
Bi: 0.899 0.892 0.895
Bi: 0.047 0.759 0.396
Rh: 0.375 0.750 0.250
Bi: 0.064 0.392 0.395
Bi: 0.545 0.392 0.605
Bi: 0.851 0.608 0.605
Bi: 0.286 0.578 0.776
Bi: 0.209 0.892 0.105
Bi: 0.205 0.108 0.895
Bi: 0.194 0.759 0.604
Bi: 0.548 0.259 0.896
Bi: 0.937 0.422 0.776
Cl: 0.791 0.417 0.000
Rh: 0.375 0.250 0.250
Bi: 0.557 0.241 0.396
Bi: 0.541 0.608 0.395
Cl: 0.541 0.917 0.500
Cl: 0.209 0.583 0.000
Rh: 0.250 0.500 0.500
Bi: 0.703 0.741 0.104
Bi: 0.641 0.422 0.224
Bi: 0.813 0.078 0.724
Rh: 0.875 0.750 0.750
Cl: 0.959 0.083 0.500
Bi: 0.136 0.578 0.224
Bi: 0.686 0.108 0.105

## Properties
Spin magnetization (μB/cell): 0.0



Material: BiRuSCl2
Method: DFT, meta-GGA SCAN
State: PBEsol geometry

Cell: 5.238 5.238 5.352 Å, 90.00 90.00 90.00°
Sites, in units of the cell vectors:
Cl: 0.500 0.000 0.000
S: 0.000 0.000 0.500
Ru: 0.500 0.500 0.500
Bi: 0.000 0.000 0.000
Cl: 0.000 0.500 0.000

## Properties
Spin magnetization (μB/cell): 3.0



Material: BiSCl
Method: DFT, meta-GGA SCAN
State: PBEsol geometry

Cell: 3.952 7.697 10.007 Å, 90.00 90.00 90.00°
Sites, in units of the cell vectors:
S: 0.250 0.817 0.953
Bi: 0.250 0.638 0.635
S: 0.250 0.317 0.547
Cl: 0.250 0.027 0.303
Cl: 0.750 0.973 0.697
S: 0.750 0.683 0.453
Cl: 0.750 0.473 0.803
Bi: 0.750 0.862 0.135
Bi: 0.250 0.138 0.865
S: 0.750 0.183 0.047
Cl: 0.250 0.527 0.197
Bi: 0.750 0.362 0.365

## Properties
Spin magnetization (μB/cell): 0.0



Material: TiBiSCl2
Method: DFT, meta-GGA SCAN
State: PBEsol geometry

Cell: 4.715 4.715 4.846 Å, 90.00 90.00 90.00°
Sites, in units of the cell vectors:
S: 0.000 0.000 0.500
Cl: 0.500 0.000 0.000
Ti: 0.000 0.000 0.000
Bi: 0.500 0.500 0.500
Cl: 0.000 0.500 0.000

## Properties
Spin magnetization (μB/cell): 1.5



Material: ZnBiSCl2
Method: DFT, meta-GGA SCAN
State: PBEsol geometry

Cell: 4.635 4.635 4.904 Å, 90.00 90.00 90.00°
Sites, in units of the cell vectors:
Cl: 0.500 0.000 0.000
S: 0.000 0.000 0.500
Zn: 0.000 0.000 0.000
Cl: 0.000 0.500 0.000
Bi: 0.500 0.500 0.500

## Properties
Spin magnetization (μB/cell): 0.0



Material: BiSbCl3
Method: DFT, meta-GGA SCAN
State: PBEsol geometry

Cell: 5.431 5.431 5.431 Å, 90.00 90.00 90.00°
Sites, in units of the cell vectors:
Sb: 0.500 0.500 0.500
Cl: 0.000 0.000 0.500
Bi: 0.000 0.000 0.000
Cl: 0.000 0.500 0.000
Cl: 0.500 0.000 0.000

## Properties
Spin magnetization (μB/cell): 2.9



Material: Bi3SbCl
Method: DFT, meta-GGA SCAN
State: PBEsol geometry

Cell: 5.426 5.426 5.426 Å, 90.00 90.00 90.00°
Sites, in units of the cell vectors:
Sb: 0.500 0.500 0.500
Cl: 0.000 0.000 0.000
Bi: 0.000 0.000 0.500
Bi: 0.500 0.000 0.000
Bi: 0.000 0.500 0.000

## Properties
Spin magnetization (μB/cell): 0.0



Material: BiSbTe2Cl
Method: DFT, meta-GGA SCAN
State: PBEsol geometry

Cell: 5.754 5.754 5.911 Å, 90.00 90.00 90.00°
Sites, in units of the cell vectors:
Sb: 0.000 0.000 0.500
Te: 0.000 0.500 0.000
Cl: 0.500 0.500 0.500
Te: 0.500 0.000 0.000
Bi: 0.000 0.000 0.000

## Properties
Spin magnetization (μB/cell): 0.0



Material: ScBiCl3
Method: DFT, meta-GGA SCAN
State: PBEsol geometry

Cell: 5.050 5.050 5.050 Å, 90.00 90.00 90.00°
Sites, in units of the cell vectors:
Sc: 0.000 0.000 0.000
Bi: 0.500 0.500 0.500
Cl: 0.000 0.000 0.500
Cl: 0.500 0.000 0.000
Cl: 0.000 0.500 0.000

## Properties
Spin magnetization (μB/cell): 3.0



Material: ScBi2Cl
Method: DFT, meta-GGA SCAN
State: PBEsol geometry

Cell: 4.438 4.438 11.675 Å, 100.96 100.96 90.00°
Sites, in units of the cell vectors:
Cl: 0.500 0.500 0.000
Cl: 0.750 0.250 0.500
Sc: 0.000 0.000 0.000
Bi: 0.625 0.651 0.750
Sc: 0.250 0.750 0.500
Bi: 0.125 0.099 0.750
Bi: 0.901 0.375 0.250
Bi: 0.349 0.875 0.250

## Properties
Spin magnetization (μB/cell): 0.0



Material: SiBi2Cl
Method: DFT, meta-GGA SCAN
State: PBEsol geometry

Cell: 8.237 6.618 8.237 Å, 51.51 90.00 128.49°
Sites, in units of the cell vectors:
Cl: 0.000 0.000 0.000
Bi: 0.875 0.250 0.580
Bi: 0.580 0.750 0.375
Si: 0.250 0.500 0.250
Si: 0.500 0.000 0.500
Bi: 0.375 0.250 0.170
Bi: 0.170 0.750 0.875
Cl: 0.750 0.500 0.750

## Properties
Spin magnetization (μB/cell): 0.0
Energy relative to the lowest polymorph listed for this composition (meV per atom): 0



Results for ΔE_f (raw): 10.8; 0.9; 1.6; -1.1; -2.0; 1.4; -0.3; 1.6; 6.0; 0.7; 6.2; 0.6; 1.2; 3.0; 17.5; -4.4; 3.0; -1.9; -3.6; -1.9; -0.8; 3.8; 3.6; -5.7; -1.7; 0.6 (in eV/f.u., following the order of the records).